The following is a PBE calculation of Ac2ScCdS6 after structural relaxation, from Alexandria.

Output
D(E_F) in states/eV per cell: 18.3
Energy relative to the elements, uncorrected in meV per atom: -1608
V in Å³/cell: 491
Magnetization in μB/f.u.: 0.00

Lattice parameters (Å, degrees): 6.6551 7.5846 11.6596 90.00 123.50 90.00
Closest atoms and distances in Å follow each position.
Space group P2_1/c (No. 14)
Inequivalent atoms, fractional coordinates:
Ac1 0.2081 0.1014 0.2484 x4  7 S 2.97-3.30
Sc1 0.5000 0.0000 0.0000 x2  6 S 2.53-2.62
Cd1 0.0000 0.0000 0.5000 x2  6 S 2.60-2.78
S1 0.1307 0.1761 0.9481 x4  1 Sc 2.56, 1 Cd 2.78
S2 0.2789 0.6954 0.9433 x4  1 Sc 2.62, 1 Cd 2.73
S3 0.3690 0.0316 0.7518 x4  1 Sc 2.53, 1 Cd 2.60

---

The following is a PBE calculation of LiTbCeTl after structural relaxation, from Alexandria.

Output
D(E_F) in states/eV per cell: 43.9
Energy relative to the elements in meV per atom: -79
V in Å³/cell: 439
Magnetization in μB/f.u.: 1.30

Lattice parameters (Å, degrees): 7.5979 7.5979 7.5979 90.00 90.00 90.00
Closest atoms and distances in Å follow each position.
Space group F-43m (No. 216)
Inequivalent atoms, fractional coordinates:
Li1 0.0000 0.0000 0.0000 x4  4 Tb 3.29, 4 Ce 3.29
Tb1 0.2500 0.2500 0.7500 x4  4 Tl 3.29, 4 Li 3.29
Ce1 0.2500 0.2500 0.2500 x4  4 Li 3.29, 4 Tl 3.29
Tl1 0.0000 0.0000 0.5000 x4  4 Ce 3.29, 4 Tb 3.29

---

The following is a PBE calculation of AlNiMo2 after structural relaxation, from Alexandria.

Output
D(E_F) in states/eV per cell: 7.5
Energy relative to the elements in meV per atom: -39
V in Å³/cell: 116
Magnetization in μB/f.u.: 0.00

Lattice parameters (Å, degrees): 9.0181 2.6644 4.8508 90.00 97.67 90.00
Closest atoms and distances in Å follow each position.
Space group Cm (No. 8)
Inequivalent atoms, fractional coordinates:
Al1 0.0000 0.0000 0.0000 x2  3 Ni 2.63-2.69, 2 Al 2.66, 7 Mo 2.69-2.85
Ni1 0.2392 0.5000 0.2136 x2  3 Al 2.63-2.69, 2 Ni 2.66, 7 Mo 2.70-2.84
Mo1 0.2418 0.0000 0.7295 x2  5 Mo 2.58-2.84, 3 Al 2.69-2.85, 4 Ni 2.70-2.83
Mo2 0.4782 0.0000 0.4846 x2  5 Mo 2.58-2.84, 3 Ni 2.72-2.84, 4 Al 2.73-2.82

---

The following is a PBE calculation of TlCdInPb3 after structural relaxation, from Alexandria.

Output
D(E_F) in states/eV per cell: 10.8
Energy relative to the elements in meV per atom: 59
V in Å³/cell: 733
Magnetization in μB/f.u.: 0.00

Lattice parameters (Å, degrees): 19.3691 5.0938 7.4625 90.00 95.38 90.00
Closest atoms and distances in Å follow each position.
Space group C2/m (No. 12)
Inequivalent atoms, fractional coordinates:
Tl1 0.1883 0.0000 0.0416 x4  1 In 3.36, 7 Pb 3.43-3.57, 2 Cd 3.56, 2 Tl 3.59
Cd1 0.0685 0.5000 0.1348 x4  1 Cd 3.18, 4 Pb 3.27-3.45, 2 In 3.44, 2 Tl 3.56
In1 0.1147 0.0000 0.4312 x4  7 Pb 3.13-3.44, 1 Tl 3.36, 2 Cd 3.44
Pb1 0.0306 0.0000 0.7903 x4  2 In 3.13-3.26, 2 Cd 3.27, 3 Pb 3.39-3.45, 1 Tl 3.43
Pb2 0.1411 0.5000 0.7297 x4  5 Pb 3.39-3.69, 2 In 3.39, 1 Cd 3.45, 3 Tl 3.51-3.57
Pb3 0.2270 0.5000 0.3488 x4  1 Cd 3.32, 3 In 3.34-3.44, 5 Pb 3.42-3.69, 3 Tl 3.46-3.48